ScCuTcBi after structural relaxation. Source: OQMD via LeMat-Bulk, functional GGA-PBE.

Summary:
The magnetic moment is 3.96 μB per cell. The distance to the lowest polymorph of the same formula is 0.206 eV per atom.

a = 6.680 Å, b = 6.680 Å, c = 6.680 Å
α = 90.00°, β = 90.00°, γ = 90.00°
Space group F-43m (No. 216)
Unique sites:
Sc 0.000 0.000 0.000
Cu 0.000 0.000 0.500
Tc 0.250 0.250 0.750
Bi 0.250 0.250 0.250